Material: RbAg3Te4Pt
Method: DFT, GGA-PBE
State: optimized geometry

POSCAR file:
```
RbAg3Te4Pt
1.0
6.868 0.000 0.000
0.000 6.868 0.000
0.000 0.000 6.868
Ag Pt Rb Te
3 1 1 4
direct
0.500 0.500 0.000
0.500 0.000 0.500
0.000 0.500 0.500
0.500 0.500 0.500
0.000 0.000 0.000
0.282 0.282 0.282
0.718 0.718 0.282
0.718 0.282 0.718
0.282 0.718 0.718
```

Its raw total energy is -3.213 eV/atom. The crystal system is cubic. The value obtained for the mass density is 5.7 g/cm3.



Material: RbAgTe3Pt
Method: DFT, GGA-PBE
State: optimized geometry

POSCAR file:
```
RbAgTe3Pt
1.0
11.321 0.000 0.000
0.000 2.049 8.005
0.000 -2.049 8.005
Ag Pt Rb Te
2 2 2 6
direct
0.500 0.436 0.436
0.000 0.564 0.564
0.250 0.000 0.000
0.750 0.000 0.000
0.000 0.248 0.248
0.500 0.752 0.752
0.500 0.056 0.056
0.266 0.390 0.390
0.734 0.390 0.390
0.234 0.610 0.610
0.766 0.610 0.610
0.000 0.944 0.944
```

Its raw total energy is -3.567 eV/atom. The crystal system is orthorhombic. The value obtained for the mass density is 6.9 g/cm3.



Material: ReAgPt2
Method: DFT, GGA-PBE
State: optimized geometry

POSCAR file:
```
ReAgPt2
1.0
0.000 3.159 3.159
3.159 0.000 3.159
3.159 3.159 0.000
Ag Pt Re
1 2 1
direct
0.500 0.500 0.500
0.000 0.000 0.000
0.250 0.250 0.250
0.750 0.750 0.750
```

Its raw total energy is -6.388 eV/atom. The crystal system is cubic. The calculation puts the formation energy at 0.4519 eV per atom. The value obtained for the mass density is 18.0 g/cm3.



Material: Re2AgPt
Method: DFT, GGA-PBE
State: optimized geometry

POSCAR file:
```
Re2AgPt
1.0
1.819 -2.207 3.419
2.543 2.167 2.952
-1.491 0.690 4.144
Ag Pt Re
1 1 2
direct
0.500 0.500 0.500
0.750 0.750 0.750
0.000 0.000 0.000
0.250 0.250 0.250
```

Its raw total energy is -7.869 eV/atom. The crystal system is cubic. The calculation puts the formation energy at 0.5625 eV per atom. The value obtained for the mass density is 17.9 g/cm3.



Material: TlAgPtSe2S
Method: DFT, GGA-PBE
State: optimized geometry

POSCAR file:
```
TlAgPtSe2S
1.0
-3.211 0.544 -5.862
2.460 -4.110 4.694
-9.599 0.290 5.285
Ag Pt S Se Tl
2 2 2 4 2
direct
0.631 0.369 0.250
0.369 0.631 0.750
0.000 0.000 0.000
0.000 0.000 0.500
0.983 0.017 0.250
0.017 0.983 0.750
0.627 0.373 0.015
0.627 0.373 0.485
0.373 0.627 0.515
0.373 0.627 0.985
0.313 0.687 0.250
0.687 0.313 0.750
```

Its raw total energy is -3.898 eV/atom. The crystal system is orthorhombic. The value obtained for the mass density is 8.6 g/cm3.



Material: TlAgTe2PtS
Method: DFT, GGA-PBE
State: optimized geometry

POSCAR file:
```
TlAgTe2PtS
1.0
2.050 -6.312 0.000
2.050 6.312 0.000
0.000 0.000 11.597
Ag Pt S Te Tl
2 2 2 4 2
direct
0.392 0.608 0.250
0.608 0.392 0.750
0.000 0.000 0.000
0.000 0.000 0.500
0.023 0.977 0.250
0.977 0.023 0.750
0.365 0.635 0.016
0.365 0.635 0.484
0.635 0.365 0.516
0.635 0.365 0.984
0.704 0.296 0.250
0.296 0.704 0.750
```

Its raw total energy is -3.737 eV/atom. The crystal system is orthorhombic. The value obtained for the mass density is 8.8 g/cm3.